1.
LiGdHgS3: relaxed, GGA-PBE.

The structure belongs to space group Cmcm (No. 63); the cell edges are 4.142, 14.284 and 10.513 Å and the angles 90.00°, 90.00° and 90.00°. Symmetry generates all atoms from Li at (0.000, 0.134, 0.250), Gd at (0.000, 0.500, 0.000), Hg at (0.000, 0.126, 0.750), S at (0.000, 0.132, 0.525) and S at (0.000, 0.448, 0.750).

Its energy above the most stable polymorph in this dataset is 0.004 eV per atom. The value obtained for the total energy is -0.160 hartree per atom.


2.
NdZrTe: relaxed, GGA-PBE.

The structure belongs to space group F-43m (No. 216); the cell edges are 7.068, 7.068 and 7.068 Å and the angles 90.00°, 90.00° and 90.00°. Symmetry generates all atoms from Nd at (0.000, 0.000, 0.000), Zr at (0.000, 0.000, 0.500) and Te at (0.250, 0.250, 0.250).

Its energy above the most stable polymorph in this dataset is 0.000 eV per atom. The value obtained for the total energy is -0.214 hartree per atom.


3.
GdSnTe3Au: relaxed, GGA-PBE.

The structure belongs to space group P2_1/m (No. 11); the cell edges are 8.302, 4.327 and 10.759 Å and the angles 90.00°, 107.32° and 90.00°. Symmetry generates all atoms from Gd at (0.203, 0.250, 0.181), Sn at (0.214, 0.750, 0.705), Te at (0.085, 0.250, 0.874), Te at (0.202, 0.250, 0.471), Te at (0.465, 0.750, 0.174) and Au at (0.384, 0.750, 0.404).

Its energy above the most stable polymorph in this dataset is 0.007 eV per atom. The value obtained for the total energy is -0.155 hartree per atom.


4.
Nd2Sc2CBr4Cl: relaxed, GGA-PBE.

The structure belongs to space group C2/m (No. 12); the cell edges are 18.223, 3.762 and 8.161 Å and the angles 90.00°, 102.68° and 90.00°. Symmetry generates all atoms from Nd at (0.000, 0.000, 0.215), Sc at (0.127, 0.500, 0.064), C at (0.000, 0.500, 0.000), Br at (0.167, 0.000, 0.313), Br at (0.169, 0.000, 0.853) and Cl at (0.000, 0.500, 0.500).

Its energy above the most stable polymorph in this dataset is 0.000 eV per atom. The value obtained for the total energy is -0.201 hartree per atom.